Run one
The following is a DFT calculation (PBE-GGA) of an optimized crystal structure of Ac2EuPu.

```
4
Lattice="5.137 0.000 0.000 0.000 5.527 0.000 0.000 0.000 5.527" Properties=species:S:1:pos:R:3 pbc="T T T"
Ac 0.000 2.764 0.000
Ac 0.000 0.000 2.764
Pu 2.569 2.764 2.764
Eu 2.569 0.000 0.000
```

V: 157 Å³ per cell
density of states at the Fermi level: 17.2 states/eV/f.u.
magnetization: 3.584 μB per atom



Run two
The following is a DFT calculation (PBE-GGA) of an optimized crystal structure of Ac2EuPu.

```
4
Lattice="-4.324 -3.013 -2.981 0.655 -5.914 -1.121 -3.441 -4.034 2.920" Properties=species:S:1:pos:R:3 pbc="T T T"
Pu 0.000 0.000 0.000
Eu -3.555 -6.481 -0.591
Ac -5.332 -9.721 -0.888
Ac -1.778 -3.241 -0.294
```

V: 157 Å³ per cell
density of states at the Fermi level: 17.7 states/eV/f.u.
magnetization: 3.595 μB per atom



What should be chosen as the least stable of them? Choose run two.